Record 1
LiZnAg at its PBEsol-relaxed geometry, computed with SCAN.

Energy above the lowest structure with this stoichiometry: 75 meV per atom
Formation energy: -0.10 eV per atom
Total DFT energy (no corrections): -15.858 eV/atom

Structure (CIF):
```
data_LiZnAg
_chemical_formula_sum 'Li1 Zn1 Ag1'
_cell_length_a 2.8137
_cell_length_b 2.8137
_cell_length_c 6.6914
_cell_angle_alpha 90.00
_cell_angle_beta 90.00
_cell_angle_gamma 120.00
_space_group_name_H-M_alt 'P 3 m 1'
_space_group_IT_number 156
loop_
_space_group_symop_operation_xyz
'x,y,z'
'-y,x-y,z'
'-x+y,-x,z'
'-y,-x,z'
'-x+y,y,z'
'x,x-y,z'
loop_
_atom_site_label
_atom_site_fract_x
_atom_site_fract_y
_atom_site_fract_z
Li1 0.0000 0.0000 0.0000
Zn1 0.6667 0.3333 0.6717
Ag1 0.3333 0.6667 0.3342
```



Record 2
Al2CuCl at its PBEsol-relaxed geometry, computed with SCAN.

Energy above the lowest structure with this stoichiometry: 0 meV per atom
Energy relative to the elements, uncorrected: -0.063 eV/atom
Total DFT energy (no corrections): -9.733 eV/atom

Structure (CIF):
```
data_Al2CuCl
_chemical_formula_sum 'Al2 Cu1 Cl1'
_cell_length_a 2.975
_cell_length_b 2.975
_cell_length_c 7.382
_cell_angle_alpha 90.00
_cell_angle_beta 90.00
_cell_angle_gamma 90.00
_space_group_name_H-M_alt 'P 4 m m'
_space_group_IT_number 99
loop_
_space_group_symop_operation_xyz
'x,y,z'
'-y,x,z'
'-x,-y,z'
'y,-x,z'
'-x,y,z'
'y,x,z'
'x,-y,z'
'-y,-x,z'
loop_
_atom_site_label
_atom_site_fract_x
_atom_site_fract_y
_atom_site_fract_z
Al1 0.000 0.000 0.000
Al2 0.500 0.500 0.259
Cu1 0.000 0.000 0.444
Cl1 0.500 0.500 0.767
```



Record 3
FeSb2Pb at its PBEsol-relaxed geometry, computed with SCAN.

Energy relative to the elements, uncorrected: 0.330 eV/atom
Total DFT energy (no corrections): -41.778 eV/atom

Structure (CIF):
```
data_FeSb2Pb
_chemical_formula_sum 'Fe1 Sb2 Pb1'
_cell_length_a 3.297
_cell_length_b 3.297
_cell_length_c 8.138
_cell_angle_alpha 90.00
_cell_angle_beta 90.00
_cell_angle_gamma 90.00
_space_group_name_H-M_alt 'P 4 m m'
_space_group_IT_number 99
loop_
_space_group_symop_operation_xyz
'x,y,z'
'-y,x,z'
'-x,-y,z'
'y,-x,z'
'-x,y,z'
'y,x,z'
'x,-y,z'
'-y,-x,z'
loop_
_atom_site_label
_atom_site_fract_x
_atom_site_fract_y
_atom_site_fract_z
Fe1 0.000 0.000 0.000
Sb1 0.000 0.000 0.563
Sb2 0.500 0.500 0.850
Pb1 0.500 0.500 0.238
```



Record 4
Sc2TlAs at its PBEsol-relaxed geometry, computed with SCAN.

Energy above the lowest structure with this stoichiometry: 0 meV per atom
Formation energy: -0.96 eV per atom
Total DFT energy (no corrections): -31.218 eV/atom

Structure (CIF):
```
data_Sc2TlAs
_chemical_formula_sum 'Sc6 Tl3 As3'
_cell_length_a 3.6926
_cell_length_b 3.6926
_cell_length_c 22.5854
_cell_angle_alpha 90.00
_cell_angle_beta 90.00
_cell_angle_gamma 120.00
_space_group_name_H-M_alt 'R -3 m'
_space_group_IT_number 166
_space_group_name_Hall '-R 3 2"'
loop_
_atom_site_label
_atom_site_fract_x
_atom_site_fract_y
_atom_site_fract_z
Sc1 0.0000 0.0000 0.2355
Tl1 0.0000 0.0000 0.0000
As1 0.0000 0.0000 0.5000
```